The following is a GGA-PBE calculation of a relaxed BC2 crystal, from Alexandria.

a b c (Å): 3.7768 2.6141 7.8988
angles (deg): 90.00 90.24 90.00
Last column: nearest neighbours and their distance in Å.
Space group Pm (No. 6)
Symmetry-distinct sites (fractional):
1 B 0.0000 0.0000 0.0000 (multiplicity 1)  3 C 1.55-1.58
2 B 0.0208 0.0000 0.2870 (multiplicity 1)  3 C 1.62-1.63
3 B 0.3520 0.0000 0.7669 (multiplicity 1)  3 C 1.56-1.59
4 B 0.8100 0.5000 0.6345 (multiplicity 1)  4 C 1.62-1.80
5 C 0.0610 0.0000 0.6204 (multiplicity 1)  1 C 1.51, 3 B 1.59-1.62
6 C 0.3043 0.0000 0.1318 (multiplicity 1)  2 B 1.55-1.63, 2 C 1.56
7 C 0.3177 0.0000 0.4744 (multiplicity 1)  3 C 1.51-1.54
8 C 0.5292 0.5000 0.4506 (multiplicity 1)  3 C 1.50-1.54
9 C 0.5312 0.5000 0.1332 (multiplicity 1)  4 C 1.56-1.60
10 C 0.5582 0.5000 0.8080 (multiplicity 1)  1 C 1.51, 3 B 1.56-1.67
11 C 0.7674 0.5000 0.2994 (multiplicity 1)  2 C 1.50-1.58, 2 B 1.62
12 C 0.7764 0.5000 0.9680 (multiplicity 1)  2 C 1.51-1.60, 2 B 1.58

Energy of formation from the pure elements = 0.287 eV/atom
E_tot = -8.088 eV per atom